ReTcRh3: optimized geometry, GGA-PBE.

Cell lengths 4.611, 4.611, 4.611 Å; angles 90.00, 90.00, 90.00 degrees
Positions (direct):
Re1 0.000 0.000 0.000
Tc1 0.500 0.500 0.500
Rh1 0.000 0.500 0.500
Rh2 0.500 0.000 0.500
Rh3 0.500 0.500 0.000

Computed properties:
crystal system	cubic
space group	Pm-3m (221)
excess energy over the best structure of this formula in the dataset	9.51	eV per formula unit



TmGaSi4: optimized geometry, GGA-PBE.

Cell lengths 5.206, 5.206, 5.206 Å; angles 60.00, 60.00, 60.00 degrees
Positions (direct):
Tm1 0.000 0.000 0.000
Ga1 0.250 0.250 0.250
Si1 0.127 0.624 0.624
Si2 0.624 0.127 0.624
Si3 0.624 0.624 0.127
Si4 0.624 0.624 0.624

Computed properties:
crystal system	cubic
formation energy without anion corrections	-0.1214	eV per atom
space group	F-43m (216)



LiEu2Cd: optimized geometry, GGA-PBE.

Cell lengths 3.995, 3.995, 7.909 Å; angles 90.00, 90.00, 90.00 degrees
Positions (direct):
Li1 0.000 0.000 0.000
Eu1 0.500 0.500 0.261
Eu2 0.500 0.500 0.739
Cd1 0.000 0.000 0.500

Computed properties:
crystal system	tetragonal
uncorrected energy	-24.040	eV per formula unit
space group	P4/mmm (123)



PrPuSc2S4: optimized geometry, GGA-PBE.

Cell lengths 6.667, 3.827, 6.756 Å; angles 90.00, 108.90, 90.00 degrees
Positions (direct):
Pr1 0.000 0.000 0.000
Pu1 0.500 0.500 0.000
Sc1 0.000 0.500 0.500
Sc2 0.500 0.000 0.500
S1 0.247 0.000 0.726
S2 0.265 0.500 0.278
S3 0.735 0.500 0.722
S4 0.753 0.000 0.274

Computed properties:
crystal system	monoclinic
formation energy without anion corrections	-1.8733	eV per atom
space group	P2/m (10)



LiGdCdRu: optimized geometry, GGA-PBE.

Cell lengths 6.759, 6.759, 6.759 Å; angles 90.00, 90.00, 90.00 degrees
Positions (direct):
Li1 0.000 0.000 0.000
Li2 0.000 0.500 0.500
Li3 0.500 0.000 0.500
Li4 0.500 0.500 0.000
Gd1 0.250 0.250 0.750
Gd2 0.250 0.750 0.250
Gd3 0.750 0.250 0.250
Gd4 0.750 0.750 0.750
Cd1 0.250 0.250 0.250
Cd2 0.250 0.750 0.750
Cd3 0.750 0.250 0.750
Cd4 0.750 0.750 0.250
Ru1 0.000 0.000 0.500
Ru2 0.000 0.500 0.000
Ru3 0.500 0.000 0.000
Ru4 0.500 0.500 0.500

Computed properties:
crystal system	cubic
uncorrected energy	-26.598	eV per formula unit
space group	F-43m (216)



YTe2: optimized geometry, GGA-PBE.

Cell lengths 6.386, 7.503, 4.473 Å; angles 90.00, 90.00, 90.00 degrees
Positions (direct):
Y1 0.000 0.000 0.000
Y2 0.500 0.500 0.500
Te1 0.202 0.374 0.000
Te2 0.298 0.874 0.500
Te3 0.702 0.126 0.500
Te4 0.798 0.626 0.000

Computed properties:
crystal system	orthorhombic
formation energy without anion corrections	-0.9889	eV per atom
space group	Pnnm (58)



Sc12GaNi5: optimized geometry, GGA-PBE.

Cell lengths 7.692, 7.692, 7.692 Å; angles 110.99, 110.60, 106.85 degrees
Positions (direct):
Sc1 0.035 0.229 0.806
Sc2 0.182 0.281 0.463
Sc3 0.182 0.719 0.901
Sc4 0.325 0.029 0.704
Sc5 0.325 0.621 0.296
Sc6 0.423 0.229 0.194
Sc7 0.577 0.771 0.806
Sc8 0.675 0.379 0.704
Sc9 0.675 0.971 0.296
Sc10 0.818 0.281 0.099
Sc11 0.818 0.719 0.537
Sc12 0.965 0.771 0.194
Ga1 0.500 0.500 0.000
Ni1 0.000 0.000 0.000
Ni2 0.128 0.628 0.500
Ni3 0.353 0.000 0.353
Ni4 0.647 0.000 0.647
Ni5 0.872 0.372 0.500

Computed properties:
crystal system	orthorhombic
uncorrected energy	-114.949	eV per formula unit
space group	Immm (71)



Nd3DyIn2: optimized geometry, GGA-PBE.

Cell lengths 5.323, 10.096, 6.847 Å; angles 90.00, 90.00, 90.00 degrees
Positions (direct):
Nd1 0.000 0.036 0.000
Nd2 0.000 0.326 0.340
Nd3 0.000 0.674 0.840
Nd4 0.000 0.964 0.500
Nd5 0.500 0.182 0.728
Nd6 0.500 0.818 0.228
Dy1 0.500 0.461 0.065
Dy2 0.500 0.539 0.565
In1 0.000 0.357 0.825
In2 0.000 0.643 0.325
In3 0.500 0.146 0.245
In4 0.500 0.854 0.745

Computed properties:
crystal system	orthorhombic
space group	Pmc2_1 (26)
excess energy over the best structure of this formula in the dataset	0.00	eV per formula unit